No. 1
Computed, not measured: a geometry-optimized NpCd3Rh4 structure at the PBE-GGA level of DFT.

a b c (Å): 4.619 4.619 7.309
angles (deg): 108.43 108.42 90.00
Fractional coordinates of all 8 atoms:
1 Rh 0.878 0.878 0.756
2 Cd 0.246 0.746 0.492
3 Cd 0.754 0.254 0.508
4 Rh 0.122 0.122 0.244
5 Cd 0.000 0.500 0.000
6 Np 0.500 0.000 0.000
7 Rh 0.622 0.622 0.244
8 Rh 0.378 0.378 0.756

Computed properties:
**E_form**: -256 meV per atom
**SG**: I4/mmm
**Total magnetization**: 2.569 Bohr magnetons per cell


No. 2
Computed, not measured: a geometry-optimized K2ScTa structure at the PBE-GGA level of DFT.

a b c (Å): 5.258 5.258 9.972
angles (deg): 88.40 88.40 33.56
Fractional coordinates of all 4 atoms:
1 K 0.991 0.991 0.068
2 Ta 0.241 0.241 0.340
3 Sc 0.516 0.516 0.408
4 K 0.752 0.752 0.684

Computed properties:
**E_form**: 927 meV per atom
**SG**: Cm
**Total magnetization**: 0.015 Bohr magnetons per cell
**ΔE to the lowest computed polymorph**: 26.3 kJ per mole of atoms


No. 3
Computed, not measured: a geometry-optimized MnAuN3 structure at the PBE-GGA level of DFT.

a b c (Å): 3.726 3.726 3.726
angles (deg): 90.00 90.00 90.00
Fractional coordinates of all 5 atoms:
1 N 0.000 0.000 0.500
2 N 0.500 0.000 0.000
3 Au 0.500 0.500 0.500
4 N 0.000 0.500 0.000
5 Mn 0.000 0.000 0.000

Computed properties:
**SG**: Pm-3m
**Total magnetization**: 0.000 Bohr magnetons per cell
**Formation energy (no corrections)**: 1368.3 meV/atom


No. 4
Computed, not measured: a geometry-optimized NiSbMo3 structure at the PBE-GGA level of DFT.

a b c (Å): 4.526 4.526 4.526
angles (deg): 90.00 90.00 90.00
Fractional coordinates of all 5 atoms:
1 Mo 0.000 0.000 0.500
2 Mo 0.500 0.000 0.000
3 Ni 0.000 0.000 0.000
4 Sb 0.500 0.500 0.500
5 Mo 0.000 0.500 0.000

Computed properties:
**SG**: Pm-3m
**Total magnetization**: 0.000 Bohr magnetons per cell
**ΔE to the lowest computed polymorph**: 0.0 kJ per mole of atoms
**Formation energy (no corrections)**: 1148.1 meV/atom